{"formula": "Tb2Pm3Nd6Tm", "functional": "PBE", "state": "relaxed", "cell": [[-6.1532, 1.3902, -0.2570], [2.1957, -3.7818, 4.5539], [3.1544, 10.1982, 5.4896]], "species": ["Pm", "Pm", "Pm", "Tb", "Tb", "Nd", "Nd", "Nd", "Nd", "Nd", "Nd", "Tm"], "fractional_positions": [[0.8333, 0.1667, 0.5000], [0.5000, 0.5000, 0.5000], [0.1667, 0.8333, 0.5000], [0.6667, 0.3333, 0.0000], [0.3333, 0.6667, 0.0000], [0.9174, 0.5847, 0.7533], [0.5847, 0.9174, 0.7533], [0.7498, 0.7498, 0.2470], [0.4153, 0.0826, 0.2467], [0.2502, 0.2502, 0.7530], [0.0826, 0.4153, 0.2467], [0.0000, 0.0000, 0.0000]], "n_ef_per_ev_atom": 1.33, "spacegroup": "C2/m", "total_energy_ev_per_cell": -56.43}